No. 1
Computed, not measured: crystalline ScTc2Br at its relaxed geometry at the PBE level of DFT.

Properties
Offset from the most stable computed form in meV per atom: 839
Energy relative to the elements, uncorrected in eV/atom: 0.669
Total magnetization in μB per atom: 0.000
Crystal system: cubic

Unit cell a=4.517 b=4.517 c=4.517 alpha=60.00 beta=60.00 gamma=60.00
Fractional coordinates of all 4 atoms:
1 Sc 0.000 0.000 0.000
2 Tc 0.250 0.250 0.250
3 Tc 0.750 0.750 0.750
4 Br 0.500 0.500 0.500

=====

No. 2
Computed, not measured: crystalline CaSi2 at its relaxed geometry at the PBE level of DFT.

Properties
Energy relative to the elements, uncorrected in eV/atom: -0.380
Total magnetization in μB per atom: 0.000
Crystal system: trigonal

Unit cell a=5.728 b=5.728 c=5.728 alpha=39.21 beta=39.21 gamma=39.21
Fractional coordinates of all 3 atoms:
1 Ca 0.000 0.000 0.000
2 Si 0.197 0.197 0.197
3 Si 0.803 0.803 0.803

=====

No. 3
Computed, not measured: crystalline Sc5Co2Ge at its relaxed geometry at the PBE level of DFT.

Properties
Formation energy from the elements in eV/f.u.: -3.5
Total magnetization in μB per atom: 0.000
Crystal system: tetragonal

Unit cell a=8.329 b=8.329 c=8.329 alpha=132.82 beta=132.82 gamma=68.93
Fractional coordinates of all 16 atoms:
1 Sc 0.000 0.000 0.000
2 Sc 0.037 0.537 0.852
3 Sc 0.185 0.037 0.500
4 Sc 0.315 0.815 0.852
5 Sc 0.463 0.315 0.500
6 Sc 0.500 0.500 0.000
7 Sc 0.537 0.685 0.500
8 Sc 0.685 0.185 0.148
9 Sc 0.815 0.963 0.500
10 Sc 0.963 0.463 0.148
11 Co 0.121 0.379 0.500
12 Co 0.379 0.879 0.258
13 Co 0.621 0.121 0.742
14 Co 0.879 0.621 0.500
15 Ge 0.250 0.250 0.000
16 Ge 0.750 0.750 0.000

=====

No. 4
Computed, not measured: crystalline Ga2Fe5Co at its relaxed geometry at the PBE level of DFT.

Properties
Formation energy from the elements in eV/f.u.: -1.0
Total magnetization in μB per atom: 1.643
Crystal system: orthorhombic

Unit cell a=5.176 b=10.351 c=3.616 alpha=90.00 beta=90.00 gamma=90.00
Fractional coordinates of all 16 atoms:
1 Ga 0.237 0.123 0.000
2 Ga 0.263 0.623 0.000
3 Ga 0.737 0.377 0.000
4 Ga 0.763 0.877 0.000
5 Fe 0.000 0.500 0.500
6 Fe 0.017 0.752 0.500
7 Fe 0.237 0.374 0.000
8 Fe 0.263 0.874 0.000
9 Fe 0.483 0.252 0.500
10 Fe 0.500 0.000 0.500
11 Fe 0.517 0.748 0.500
12 Fe 0.737 0.126 0.000
13 Fe 0.763 0.626 0.000
14 Fe 0.983 0.248 0.500
15 Co 0.000 0.000 0.500
16 Co 0.500 0.500 0.500

=====

No. 5
Computed, not measured: crystalline SrTiAl2Rh at its relaxed geometry at the PBE level of DFT.

Properties
Formation energy from the elements in eV/f.u.: -1.0
Total magnetization in μB per atom: 0.310
Crystal system: tetragonal

Unit cell a=4.819 b=4.819 c=4.915 alpha=90.00 beta=90.00 gamma=90.00
Fractional coordinates of all 5 atoms:
1 Sr 0.000 0.000 0.000
2 Ti 0.500 0.500 0.000
3 Al 0.000 0.500 0.500
4 Al 0.500 0.000 0.500
5 Rh 0.500 0.500 0.500

=====

No. 6
Computed, not measured: crystalline Sm4AgPt at its relaxed geometry at the PBE level of DFT.

Properties
Offset from the most stable computed form in meV per atom: 0
Formation energy from the elements in eV/f.u.: -3.2
Total magnetization in μB per atom: 0.000
Crystal system: cubic

Unit cell a=9.795 b=9.795 c=9.795 alpha=60.00 beta=60.00 gamma=60.00
Fractional coordinates of all 24 atoms:
1 Sm 0.186 0.186 0.814
2 Sm 0.186 0.814 0.186
3 Sm 0.186 0.814 0.814
4 Sm 0.395 0.395 0.395
5 Sm 0.395 0.395 0.816
6 Sm 0.395 0.816 0.395
7 Sm 0.560 0.560 0.940
8 Sm 0.560 0.940 0.560
9 Sm 0.560 0.940 0.940
10 Sm 0.814 0.186 0.186
11 Sm 0.814 0.186 0.814
12 Sm 0.814 0.814 0.186
13 Sm 0.816 0.395 0.395
14 Sm 0.940 0.560 0.560
15 Sm 0.940 0.560 0.940
16 Sm 0.940 0.940 0.560
17 Ag 0.167 0.167 0.167
18 Ag 0.167 0.167 0.499
19 Ag 0.167 0.499 0.167
20 Ag 0.499 0.167 0.167
21 Pt 0.183 0.606 0.606
22 Pt 0.606 0.183 0.606
23 Pt 0.606 0.606 0.183
24 Pt 0.606 0.606 0.606